1.
Compound: Na2ZnAs3Pt4
Source: Alexandria
Functional: PBE-GGA
Structure: relaxed

Values from the calculation:
**Fermi-level density of states**: 5.5 states/eV/f.u.
**Formation energy**: -0.4270 eV/atom
**Symmetry**: No. 115

abc: 4.4326 4.4326 9.8386
angles: 90.00 90.00 90.00
Element x y z (fractional)
Pt1 0.0000 0.5000 0.3762
As1 0.0000 0.0000 0.5000
As2 0.5000 0.0000 0.8724
Na1 0.0000 0.5000 0.7492
As3 0.0000 0.5000 0.1276
Pt2 0.5000 0.0000 0.6238
Pt3 0.5000 0.5000 0.0000
Na2 0.5000 0.0000 0.2508
Pt4 0.0000 0.0000 0.0000
Zn1 0.5000 0.5000 0.5000

---

2.
Compound: FeReAs2Se
Source: Alexandria
Functional: PBE-GGA
Structure: relaxed

Values from the calculation:
**Energy above the lowest structure with this stoichiometry**: 0 meV per atom
**Fermi-level density of states**: 6.5 states/eV/f.u.
**Symmetry**: No. 123

abc: 4.6812 4.6812 5.4404
angles: 90.00 90.00 90.00
Last column: magnetic moment on the atom in μB.
Element x y z (fractional)
As1 0.0000 0.5000 0.0000  0.02
Se1 0.0000 0.0000 0.5000  0.01
As2 0.5000 0.0000 0.0000  0.02
Fe1 0.5000 0.5000 0.5000  3.38
Re1 0.0000 0.0000 0.0000  -0.23

---

3.
Compound: LuPtAu2
Source: Alexandria
Functional: PBE-GGA
Structure: relaxed

Values from the calculation:
**Fermi-level density of states**: 1.6 states/eV/f.u.
**Formation energy**: -0.6969 eV/atom
**Symmetry**: No. 225

abc: 4.7511 4.7511 4.7511
angles: 60.00 60.00 60.00
Element x y z (fractional)
Au1 0.7500 0.7500 0.7500
Au2 0.2500 0.2500 0.2500
Lu1 0.5000 0.5000 0.5000
Pt1 0.0000 0.0000 0.0000